[1]
DFT (PBE) results for a relaxed structure of Dy6AgRh3.

Calculated values
As for the space group: No. 11. The relative energy among the computed polymorphs comes out at 0.0 meV/atom.

Unit cell a=11.513 b=4.077 c=11.694 alpha=90.00 beta=108.43 gamma=90.00
Sites, in units of the cell vectors:
Dy (0.043, 0.250, 0.407)
Dy (0.115, 0.250, 0.971)
Dy (0.203, 0.750, 0.269)
Dy (0.257, 0.750, 0.781)
Dy (0.371, 0.250, 0.550)
Dy (0.440, 0.750, 0.105)
Dy (0.560, 0.250, 0.895)
Dy (0.629, 0.750, 0.450)
Dy (0.743, 0.250, 0.219)
Dy (0.797, 0.250, 0.731)
Dy (0.885, 0.750, 0.029)
Dy (0.957, 0.750, 0.593)
Ag (0.427, 0.250, 0.303)
Ag (0.573, 0.750, 0.697)
Rh (0.027, 0.250, 0.172)
Rh (0.197, 0.750, 0.520)
Rh (0.342, 0.250, 0.941)
Rh (0.658, 0.750, 0.059)
Rh (0.803, 0.250, 0.480)
Rh (0.973, 0.750, 0.828)

=====

[2]
DFT (PBE) results for a relaxed structure of Rb4YTh3S8.

Calculated values
As for the space group: No. 166. The calculation puts the uncorrected energy at -5.80 eV per atom.

Unit cell a=9.133 b=9.133 c=9.133 alpha=53.61 beta=53.61 gamma=53.61
Sites, in units of the cell vectors:
Rb (0.000, 0.000, 0.000)
Rb (0.000, 0.500, 0.500)
Rb (0.500, 0.000, 0.500)
Rb (0.500, 0.500, 0.000)
Y (0.500, 0.500, 0.500)
Th (0.000, 0.000, 0.500)
Th (0.000, 0.500, 0.000)
Th (0.500, 0.000, 0.000)
S (0.235, 0.235, 0.235)
S (0.237, 0.731, 0.731)
S (0.269, 0.269, 0.763)
S (0.269, 0.763, 0.269)
S (0.731, 0.237, 0.731)
S (0.731, 0.731, 0.237)
S (0.763, 0.269, 0.269)
S (0.765, 0.765, 0.765)

=====

[3]
DFT (PBE) results for a relaxed structure of PrCd4Ag4.

Calculated values
As for the space group: No. 137. The calculation puts the uncorrected energy at -2.28 eV per atom.

Unit cell a=6.342 b=6.342 c=10.076 alpha=90.00 beta=90.00 gamma=90.00
Sites, in units of the cell vectors:
Pr (0.250, 0.750, 0.250)
Pr (0.750, 0.250, 0.750)
Cd (0.028, 0.250, 0.174)
Cd (0.250, 0.028, 0.674)
Cd (0.250, 0.472, 0.674)
Cd (0.472, 0.250, 0.174)
Cd (0.528, 0.750, 0.826)
Cd (0.750, 0.528, 0.326)
Cd (0.750, 0.972, 0.326)
Cd (0.972, 0.750, 0.826)
Ag (0.022, 0.250, 0.468)
Ag (0.250, 0.022, 0.968)
Ag (0.250, 0.478, 0.968)
Ag (0.478, 0.250, 0.468)
Ag (0.522, 0.750, 0.532)
Ag (0.750, 0.522, 0.032)
Ag (0.750, 0.978, 0.032)
Ag (0.978, 0.750, 0.532)

=====

[4]
DFT (PBE) results for a relaxed structure of TcCl2F.

Calculated values
As for the space group: No. 12. The relative energy among the computed polymorphs comes out at 0.0 meV/atom.

Unit cell a=6.997 b=6.997 c=4.072 alpha=106.18 beta=106.18 gamma=28.11
Sites, in units of the cell vectors:
Tc (0.000, 0.000, 0.000)
Cl (0.369, 0.369, 0.875)
Cl (0.631, 0.631, 0.125)
F (0.000, 0.000, 0.500)